Entry 1:
! MnZnTcAu GGA-PBE relaxed; values from VASP
&SYSTEM
  ibrav = 0, nat = 16, ntyp = 4
/
ATOMIC_SPECIES
Mn 54.94 Mn.upf
Zn 65.41 Zn.upf
Tc 98.00 Tc.upf
Au 196.97 Au.upf
CELL_PARAMETERS angstrom
6.185 0.000 0.000
0.000 6.185 0.000
0.000 0.000 6.185
ATOMIC_POSITIONS crystal
Mn 0.000 0.000 0.000
Mn 0.000 0.500 0.500
Mn 0.500 0.000 0.500
Mn 0.500 0.500 0.000
Zn 0.000 0.000 0.500
Zn 0.000 0.500 0.000
Zn 0.500 0.000 0.000
Zn 0.500 0.500 0.500
Tc 0.250 0.250 0.250
Tc 0.250 0.750 0.750
Tc 0.750 0.250 0.750
Tc 0.750 0.750 0.250
Au 0.250 0.250 0.750
Au 0.250 0.750 0.250
Au 0.750 0.250 0.250
Au 0.750 0.750 0.750
! * energy relative to the elements: 118 meV/atom

=====

Entry 2:
! MnTeAu3 GGA-PBE relaxed; values from VASP
&SYSTEM
  ibrav = 0, nat = 5, ntyp = 3
/
ATOMIC_SPECIES
Mn 54.94 Mn.upf
Te 127.60 Te.upf
Au 196.97 Au.upf
CELL_PARAMETERS angstrom
5.295 0.000 0.000
0.000 5.295 0.000
0.000 0.000 5.295
ATOMIC_POSITIONS crystal
Mn 0.000 0.000 0.000
Te 0.500 0.500 0.500
Au 0.000 0.500 0.500
Au 0.500 0.000 0.500
Au 0.500 0.500 0.000
! * relative energy among the computed polymorphs: 0 meV per atom
! * ΔE_f (raw): 830 meV per atom

=====

Entry 3:
! MnTe3Au GGA-PBE relaxed; values from VASP
&SYSTEM
  ibrav = 0, nat = 5, ntyp = 3
/
ATOMIC_SPECIES
Mn 54.94 Mn.upf
Te 127.60 Te.upf
Au 196.97 Au.upf
CELL_PARAMETERS angstrom
5.008 0.000 0.000
0.000 5.008 0.000
0.000 0.000 5.008
ATOMIC_POSITIONS crystal
Mn 0.000 0.000 0.000
Te 0.000 0.000 0.500
Te 0.000 0.500 0.000
Te 0.500 0.000 0.000
Au 0.500 0.500 0.500
! * relative energy among the computed polymorphs: 679 meV per atom
! * ΔE_f (raw): 604 meV per atom

=====

Entry 4:
! Mn2Te4Au GGA-PBE relaxed; values from VASP
&SYSTEM
  ibrav = 0, nat = 14, ntyp = 3
/
ATOMIC_SPECIES
Mn 54.94 Mn.upf
Te 127.60 Te.upf
Au 196.97 Au.upf
CELL_PARAMETERS angstrom
8.490 0.000 0.000
0.000 8.490 0.000
0.000 0.000 6.396
ATOMIC_POSITIONS crystal
Mn 0.000 0.500 0.250
Mn 0.000 0.500 0.750
Mn 0.500 0.000 0.250
Mn 0.500 0.000 0.750
Te 0.137 0.297 0.000
Te 0.203 0.637 0.500
Te 0.297 0.863 0.000
Te 0.363 0.203 0.500
Te 0.637 0.797 0.500
Te 0.703 0.137 0.000
Te 0.797 0.363 0.500
Te 0.863 0.703 0.000
Au 0.000 0.000 0.000
Au 0.500 0.500 0.500
! * ΔE_f (raw): 18 meV per atom

=====

Entry 5:
! Mn4TeAu GGA-PBE relaxed; values from VASP
&SYSTEM
  ibrav = 0, nat = 6, ntyp = 3
/
ATOMIC_SPECIES
Mn 54.94 Mn.upf
Te 127.60 Te.upf
Au 196.97 Au.upf
CELL_PARAMETERS angstrom
0.000 3.557 3.557
3.557 0.000 3.557
3.557 3.557 0.000
ATOMIC_POSITIONS crystal
Mn 0.125 0.125 0.125
Mn 0.125 0.125 0.625
Mn 0.125 0.625 0.125
Mn 0.625 0.125 0.125
Te 0.500 0.500 0.500
Au 0.750 0.750 0.750
! * ΔE_f (raw): 445 meV per atom

=====

Entry 6:
! Mn2Te7Au2 GGA-PBE relaxed; values from VASP
&SYSTEM
  ibrav = 0, nat = 11, ntyp = 3
/
ATOMIC_SPECIES
Mn 54.94 Mn.upf
Te 127.60 Te.upf
Au 196.97 Au.upf
CELL_PARAMETERS angstrom
3.803 -6.290 0.000
3.803 6.290 0.000
-1.292 0.000 6.752
ATOMIC_POSITIONS crystal
Mn 0.181 0.819 0.000
Mn 0.819 0.181 0.000
Te 0.036 0.453 0.760
Te 0.167 0.167 0.180
Te 0.453 0.036 0.760
Te 0.500 0.500 0.500
Te 0.547 0.964 0.240
Te 0.833 0.833 0.820
Te 0.964 0.547 0.240
Au 0.320 0.320 0.831
Au 0.680 0.680 0.169
! * ΔE_f (raw): -44 meV per atom

=====

Entry 7:
! MnTe4Au GGA-PBE relaxed; values from VASP
&SYSTEM
  ibrav = 0, nat = 6, ntyp = 3
/
ATOMIC_SPECIES
Mn 54.94 Mn.upf
Te 127.60 Te.upf
Au 196.97 Au.upf
CELL_PARAMETERS angstrom
0.000 4.438 4.438
4.438 0.000 4.438
4.438 4.438 0.000
ATOMIC_POSITIONS crystal
Mn 0.000 0.000 0.000
Te 0.127 0.624 0.624
Te 0.624 0.127 0.624
Te 0.624 0.624 0.127
Te 0.624 0.624 0.624
Au 0.250 0.250 0.250
! * relative energy among the computed polymorphs: 870 meV per atom
! * ΔE_f (raw): 739 meV per atom

=====

Entry 8:
! MnTe3Au GGA-PBE relaxed; values from VASP
&SYSTEM
  ibrav = 0, nat = 10, ntyp = 3
/
ATOMIC_SPECIES
Mn 54.94 Mn.upf
Te 127.60 Te.upf
Au 196.97 Au.upf
CELL_PARAMETERS angstrom
3.531 2.039 6.082
-3.531 2.039 6.082
0.000 -4.077 6.082
ATOMIC_POSITIONS crystal
Mn 0.160 0.160 0.160
Mn 0.840 0.840 0.840
Te 0.044 0.782 0.433
Te 0.218 0.567 0.956
Te 0.433 0.044 0.782
Te 0.567 0.956 0.218
Te 0.782 0.433 0.044
Te 0.956 0.218 0.567
Au 0.368 0.368 0.368
Au 0.632 0.632 0.632
! * relative energy among the computed polymorphs: 0 meV per atom
! * ΔE_f (raw): -75 meV per atom

=====

| no. | DOS(E_F) (states/eV/cell) |
| --- | --- |
| 1 | 17.007 |
| 2 | 4.123 |
| 3 | 7.124 |
| 4 | 8.082 |
| 5 | 8.355 |
| 6 | 5.019 |
| 7 | 5.177 |
| 8 | 4.960 |